#w
VASP calculation (PBE-GGA) on crystalline PrScTe at its relaxed geometry.

a b c (Å): 9.1396 9.1396 9.1396
angles (deg): 152.32 152.32 39.55
Sites, in units of the cell vectors:
Pr 0.1783 0.1783 0.0000
Pr 0.8217 0.8217 0.0000
Sc 0.0000 0.5000 0.5000
Sc 0.5000 0.0000 0.5000
Te 0.3746 0.3746 0.0000
Te 0.6254 0.6254 0.0000

density	6.33	Mg/m³
density of states at the Fermi level	2.9	states/eV/f.u.

#x
VASP calculation (PBE-GGA) on crystalline PrScTe at its relaxed geometry.

a b c (Å): 4.3730 4.3730 8.5718
angles (deg): 90.00 90.00 90.00
Sites, in units of the cell vectors:
Pr 0.2500 0.2500 0.1431
Pr 0.7500 0.7500 0.8569
Sc 0.2500 0.7500 0.5000
Sc 0.7500 0.2500 0.5000
Te 0.2500 0.2500 0.7512
Te 0.7500 0.7500 0.2488

density	6.35	Mg/m³
density of states at the Fermi level	2.1	states/eV/f.u.

#y
VASP calculation (PBE-GGA) on crystalline PrScTe at its relaxed geometry.

a b c (Å): 5.0048 5.0048 3.9832
angles (deg): 90.00 90.00 120.00
Sites, in units of the cell vectors:
Pr 0.0000 0.0000 0.0000
Sc 0.3333 0.6667 0.5000
Te 0.6667 0.3333 0.5000

density	6.02	Mg/m³
density of states at the Fermi level	3.8	states/eV/f.u.

The structure shown above that is most stable: #x.